! PBE+U Co3SiO, relaxed; values from VASP
&SYSTEM
  ibrav = 0, nat = 5, ntyp = 3
/
ATOMIC_SPECIES
Co 58.93 Co.upf
O 16.00 O.upf
Si 28.09 Si.upf
CELL_PARAMETERS angstrom
-1.867 2.843 1.816
-1.688 -2.584 2.310
2.920 0.323 2.496
ATOMIC_POSITIONS crystal
Co 0.000 0.000 0.500
Co 0.500 0.000 0.000
Co 0.000 0.500 0.000
O 0.000 0.000 0.000
Si 0.500 0.500 0.500
! excess energy over the best structure of this formula in the dataset: 0 meV per atom
! symmetry: Pm-3m, No. 221
! N(E_F): 1.561 states/eV/cell
! density: 6.40 Mg/m³